[1]
VHRh after structural relaxation, computed with PBE.

abc: 2.7679 2.7679 3.8227
angles: 90.00 90.00 90.00
With the nearest neighbours (Å) after each atom.
Atoms (fractional coordinates):
Rh 0.8323 0.4298 0.8136  2 H 1.91
V 0.3322 0.9298 0.3134  4 H 1.96
H 0.8322 0.4297 0.3138  2 Rh 1.91, 4 V 1.96

Calculated values
Uncorrected energy ... -6.914 eV/atom
Density ... 8.78 g/cm³
DOS(E_F) ... 1.1 states/eV per cell

[2]
Hg3Ir after structural relaxation, computed with PBE.

abc: 4.2739 4.2739 4.2739
angles: 90.00 90.00 90.00
With the nearest neighbours (Å) after each atom.
Atoms (fractional coordinates):
Ir 0.5000 0.5000 0.0000  12 Hg 3.02
Hg 0.0000 0.0000 0.0000  8 Hg 3.02, 4 Ir 3.02
Hg 0.0000 0.5000 0.5000  8 Hg 3.02, 4 Ir 3.02
Hg 0.5000 0.0000 0.5000  8 Hg 3.02, 4 Ir 3.02

Calculated values
Calculated formation energy ... 0.483 eV per atom
Density ... 16.89 g/cm³
DOS(E_F) ... 3.2 states/eV per cell

[3]
NbCl3O after structural relaxation, computed with PBE.

abc: 11.8565 11.8565 3.9968
angles: 90.00 90.00 90.00
With the nearest neighbours (Å) after each atom.
Atoms (fractional coordinates):
Cl 0.9039 0.1896 0.2443  1 Nb 2.30
O 0.1099 0.6099 0.7519  1 Nb 1.80
Cl 0.5961 0.6896 0.7557  1 Nb 2.30
O 0.6099 0.8901 0.2481  1 Nb 1.80
Cl 0.1896 0.0961 0.7557  1 Nb 2.30
Cl 0.8104 0.9039 0.7557  1 Nb 2.30
Cl 0.4043 0.9043 0.7641  2 Nb 2.57
Nb 0.6189 0.8811 0.6972  1 O 1.80
Nb 0.1189 0.6189 0.3028  1 O 1.80
Cl 0.6896 0.4039 0.2443  1 Nb 2.30
Cl 0.0957 0.4043 0.2359  2 Nb 2.57
Cl 0.0961 0.8104 0.2443  1 Nb 2.30
O 0.3901 0.1099 0.2481  1 Nb 1.80
O 0.8901 0.3901 0.7519  1 Nb 1.80
Cl 0.3104 0.5961 0.2443  1 Nb 2.30
Cl 0.9043 0.5957 0.2359  2 Nb 2.57
Cl 0.4039 0.3104 0.7557  1 Nb 2.30
Nb 0.3811 0.1189 0.6972  1 O 1.80
Cl 0.5957 0.0957 0.7641  2 Nb 2.57
Nb 0.8811 0.3811 0.3028  1 O 1.80

Calculated values
Density ... 2.54 g/cm³
DOS(E_F) ... 0.0 states/eV per cell
ΔE_f (raw) ... -1.63 eV/atom